Entry from Alexandria: an optimized crystal structure of ScTa2N4 (PBE-GGA).

Computed properties:
As for the uncorrected formation energy: -1.321 eV/atom. As for the size of the total moment: 0.000 μB/f.u. The total DFT energy (no corrections) comes out at -10.37 eV/atom.

a b c (Å): 5.267 5.267 10.232
angles (deg): 90.00 90.00 146.47
Positions (direct):
1 Sc 0.119 0.881 0.750
2 Sc 0.881 0.119 0.250
3 Ta 0.371 0.629 0.573
4 Ta 0.371 0.629 0.927
5 Ta 0.629 0.371 0.073
6 Ta 0.629 0.371 0.427
7 N 0.000 0.000 0.000
8 N 0.000 0.000 0.500
9 N 0.271 0.729 0.118
10 N 0.271 0.729 0.382
11 N 0.458 0.542 0.750
12 N 0.542 0.458 0.250
13 N 0.729 0.271 0.618
14 N 0.729 0.271 0.882

---

Entry from Alexandria: an optimized crystal structure of Te2IrPt (PBE-GGA).

Computed properties:
As for the uncorrected formation energy: 0.304 eV/atom. As for the size of the total moment: 0.000 μB/f.u. The value obtained for the polymorph energy (0 for the lowest one) is 436 meV/atom. The total DFT energy (no corrections) comes out at -4.99 eV/atom.

a b c (Å): 3.266 3.381 7.124
angles (deg): 90.00 90.00 90.00
Positions (direct):
1 Te 0.000 0.000 0.241
2 Te 0.000 0.000 0.759
3 Ir 0.500 0.500 0.000
4 Pt 0.500 0.500 0.500

---

Entry from Alexandria: an optimized crystal structure of Zn2CoCl (PBE-GGA).

Computed properties:
As for the uncorrected formation energy: 0.213 eV/atom. As for the size of the total moment: 0.768 μB/f.u. The value obtained for the polymorph energy (0 for the lowest one) is 275 meV/atom. The total DFT energy (no corrections) comes out at -2.66 eV/atom.

a b c (Å): 6.220 6.220 3.934
angles (deg): 108.37 108.37 25.92
Positions (direct):
1 Zn 0.194 0.194 0.195
2 Zn 0.806 0.806 0.805
3 Co 0.500 0.500 0.000
4 Cl 0.000 0.000 0.500

---

Entry from Alexandria: an optimized crystal structure of ZnGa3Ag4 (PBE-GGA).

Computed properties:
As for the size of the total moment: 0.000 μB/f.u. The value obtained for the polymorph energy (0 for the lowest one) is 30 meV/atom. The total DFT energy (no corrections) comes out at -2.68 eV/atom. As for the formation energy: 0.0443 eV/atom.

a b c (Å): 2.898 4.270 11.985
angles (deg): 79.77 83.40 89.98
Positions (direct):
1 Zn 0.000 0.000 0.000
2 Ga 0.342 0.844 0.314
3 Ga 0.500 0.500 0.000
4 Ga 0.658 0.156 0.686
5 Ag 0.097 0.597 0.801
6 Ag 0.224 0.721 0.558
7 Ag 0.776 0.279 0.442
8 Ag 0.903 0.403 0.199

---

Entry from Alexandria: an optimized crystal structure of Mg2Cd5Ag4 (PBE-GGA).

Computed properties:
As for the size of the total moment: 0.000 μB/f.u. The total DFT energy (no corrections) comes out at -1.81 eV/atom. As for the formation energy: -0.0701 eV/atom.

a b c (Å): 10.118 10.118 7.082
angles (deg): 96.61 96.61 18.35
Positions (direct):
1 Mg 0.081 0.081 0.166
2 Mg 0.919 0.919 0.834
3 Cd 0.000 0.000 0.500
4 Cd 0.315 0.315 0.028
5 Cd 0.366 0.366 0.450
6 Cd 0.634 0.634 0.550
7 Cd 0.685 0.685 0.972
8 Ag 0.221 0.221 0.330
9 Ag 0.459 0.459 0.159
10 Ag 0.541 0.541 0.841
11 Ag 0.779 0.779 0.670

---

Entry from Alexandria: an optimized crystal structure of PuCd2Ag2O6 (PBE-GGA).

Computed properties:
As for the uncorrected formation energy: -1.207 eV/atom. As for the size of the total moment: 2.000 μB/f.u. The total DFT energy (no corrections) comes out at -5.90 eV/atom.

a b c (Å): 5.746 5.746 6.435
angles (deg): 104.07 104.07 116.49
Positions (direct):
1 Pu 0.000 0.000 0.000
2 Cd 0.340 0.660 0.000
3 Cd 0.660 0.340 0.000
4 Ag 0.312 0.688 0.500
5 Ag 0.688 0.312 0.500
6 O 0.097 0.790 0.198
7 O 0.210 0.903 0.802
8 O 0.401 0.401 0.218
9 O 0.599 0.599 0.782
10 O 0.790 0.097 0.198
11 O 0.903 0.210 0.802

---

Entry from Alexandria: an optimized crystal structure of Pr2NdAl2 (PBE-GGA).

Computed properties:
As for the size of the total moment: 0.000 μB/f.u. The value obtained for the polymorph energy (0 for the lowest one) is 125 meV/atom. The total DFT energy (no corrections) comes out at -4.53 eV/atom. As for the formation energy: -0.1693 eV/atom.

a b c (Å): 6.631 6.631 6.267
angles (deg): 100.04 100.04 33.33
Positions (direct):
1 Pr 0.134 0.134 0.071
2 Pr 0.866 0.866 0.929
3 Nd 0.500 0.500 0.500
4 Al 0.207 0.207 0.607
5 Al 0.793 0.793 0.393

---

Entry from Alexandria: an optimized crystal structure of La2ReTc (PBE-GGA).

Computed properties:
As for the size of the total moment: 0.000 μB/f.u. The value obtained for the polymorph energy (0 for the lowest one) is 736 meV/atom. The total DFT energy (no corrections) comes out at -7.28 eV/atom. As for the formation energy: 0.8840 eV/atom.

a b c (Å): 6.262 6.262 6.262
angles (deg): 103.44 103.44 122.35
Positions (direct):
1 La 0.115 0.625 0.990
2 La 0.375 0.365 0.490
3 La 0.635 0.125 0.010
4 La 0.875 0.885 0.510
5 Re 0.250 0.750 0.500
6 Re 0.500 0.500 0.000
7 Tc 0.000 0.000 0.000
8 Tc 0.750 0.250 0.500

---

Entry from Alexandria: an optimized crystal structure of Mn2MoRu (PBE-GGA).

Computed properties:
As for the size of the total moment: 1.027 μB/f.u. The total DFT energy (no corrections) comes out at -9.51 eV/atom. As for the formation energy: 0.1050 eV/atom.

a b c (Å): 3.053 3.053 5.947
angles (deg): 90.00 90.00 90.00
Positions (direct):
1 Mn 0.000 0.000 0.000
2 Mn 0.500 0.500 0.196
3 Mo 0.000 0.000 0.479
4 Ru 0.500 0.500 0.733

---

Entry from Alexandria: an optimized crystal structure of V4Cr (PBE-GGA).

Computed properties:
As for the size of the total moment: 2.045 μB/f.u. The value obtained for the polymorph energy (0 for the lowest one) is 632 meV/atom. The total DFT energy (no corrections) comes out at -8.27 eV/atom. As for the formation energy: 0.9521 eV/atom.

a b c (Å): 4.290 4.290 4.290
angles (deg): 90.00 90.00 90.00
Positions (direct):
1 V 0.000 0.000 0.000
2 V 0.000 0.500 0.500
3 V 0.500 0.000 0.500
4 V 0.500 0.500 0.000
5 Cr 0.500 0.500 0.500

---

Entry from Alexandria: an optimized crystal structure of Ba2BeInPd6 (PBE-GGA).

Computed properties:
As for the size of the total moment: 0.000 μB/f.u. The total DFT energy (no corrections) comes out at -4.66 eV/atom. As for the formation energy: -0.5093 eV/atom.

a b c (Å): 6.304 6.345 7.304
angles (deg): 90.22 115.52 119.66
Positions (direct):
1 Ba 0.050 0.276 0.325
2 Ba 0.950 0.724 0.675
3 Be 0.500 0.500 0.000
4 In 0.500 0.000 0.500
5 Pd 0.028 0.263 0.844
6 Pd 0.416 0.180 0.154
7 Pd 0.418 0.736 0.154
8 Pd 0.582 0.264 0.846
9 Pd 0.584 0.820 0.846
10 Pd 0.972 0.737 0.156

---

Entry from Alexandria: an optimized crystal structure of ErSc3Cd2 (PBE-GGA).

Computed properties:
As for the size of the total moment: 0.006 μB/f.u. The total DFT energy (no corrections) comes out at -4.40 eV/atom. As for the formation energy: -0.1660 eV/atom.

a b c (Å): 3.465 3.465 12.029
angles (deg): 90.00 90.00 90.00
Positions (direct):
1 Er 0.000 0.000 0.000
2 Sc 0.500 0.500 0.193
3 Sc 0.500 0.500 0.500
4 Sc 0.500 0.500 0.807
5 Cd 0.000 0.000 0.347
6 Cd 0.000 0.000 0.653